(1)
This record from the Alexandria database describes a geometry-optimized AlV12W6 structure. The functional is GGA-PBE.

a = 12.2514 Å, b = 12.2514 Å, c = 6.6456 Å
α = 90.00°, β = 90.00°, γ = 120.00°
Space group R-3m (No. 166, hexagonal axes)
Unique sites:
Al  0.0000  0.0000  0.0000 x3
V  0.0000  0.3313  0.5000 x18
V  0.0976  0.5488  0.7485 x18
W  0.0809  0.1618  0.6559 x18

Values from the calculation:
Energy relative to the elements (kJ/mol of atoms): 44.63

=====

(2)
This record from the Alexandria database describes a geometry-optimized AlTc2Ir structure. The functional is GGA-PBE.

a = 3.8619 Å, b = 3.8619 Å, c = 7.7759 Å
α = 90.00°, β = 90.00°, γ = 90.00°
Space group I-4m2 (No. 119)
Unique sites:
Al  0.0000  0.0000  0.0000 x2
Tc  0.0000  0.0000  0.5000 x2
Tc  0.0000  0.5000  0.2500 x2
Ir  0.0000  0.5000  0.7500 x2

Values from the calculation:
Energy relative to the elements (kJ/mol of atoms): -19.24

=====

(3)
This record from the Alexandria database describes a geometry-optimized BeCr2Re structure. The functional is GGA-PBE.

a = 2.6441 Å, b = 2.6441 Å, c = 24.3416 Å
α = 90.00°, β = 90.00°, γ = 120.00°
Space group R-3m (No. 166, hexagonal axes)
Unique sites:
Be  0.0000  0.0000  0.0000 x3
Cr  0.0000  0.0000  0.2561 x6
Re  0.0000  0.0000  0.5000 x3

Values from the calculation:
Energy relative to the elements (kJ/mol of atoms): 32.26

=====

(4)
This record from the Alexandria database describes a geometry-optimized Hf2BiAu structure. The functional is GGA-PBE.

a = 3.8847 Å, b = 3.8847 Å, c = 22.1496 Å
α = 90.00°, β = 90.00°, γ = 120.00°
Space group R3m (No. 160, hexagonal axes)
Unique sites:
Hf  0.0000  0.0000  0.0000 x3
Hf  0.0000  0.0000  0.1841 x3
Bi  0.0000  0.0000  0.7596 x3
Au  0.0000  0.0000  0.5906 x3

Values from the calculation:
Energy relative to the elements (kJ/mol of atoms): -9.53

=====

(5)
This record from the Alexandria database describes a geometry-optimized Be2NbGa2 structure. The functional is GGA-PBE.

a = 3.6266 Å, b = 3.6266 Å, c = 10.2426 Å
α = 90.00°, β = 90.00°, γ = 90.00°
Space group I4/mmm (No. 139)
Unique sites:
Be  0.0000  0.5000  0.2500 x4
Nb  0.0000  0.0000  0.0000 x2
Ga  0.0000  0.0000  0.3851 x4

Values from the calculation:
Relative energy among the computed polymorphs (meV per atom): 34
Energy relative to the elements (kJ/mol of atoms): 6.63

=====

(6)
This record from the Alexandria database describes a geometry-optimized CaPr6Se8 structure. The functional is GGA-PBE.

a = 12.0247 Å, b = 12.0247 Å, c = 12.0247 Å
α = 90.00°, β = 90.00°, γ = 90.00°
Space group Fm-3m (No. 225)
Unique sites:
Ca  0.0000  0.0000  0.0000 x4
Pr  0.0000  0.2500  0.2500 x24
Se  0.0000  0.0000  0.2475 x24
Se  0.2500  0.2500  0.2500 x8

Values from the calculation:
Uncorrected formation energy (eV per atom): -1.899

=====

(7)
This record from the Alexandria database describes a geometry-optimized BaBe2Sb structure. The functional is GGA-PBE.

a = 4.9120 Å, b = 4.9120 Å, c = 17.2784 Å
α = 90.00°, β = 90.00°, γ = 90.00°
Space group I4_1/amd (No. 141, origin choice 2)
Unique sites:
Ba  0.0000  0.2500  0.3750 x4
Be  0.0000  0.0000  0.0000 x8
Sb  0.0000  0.2500  0.8750 x4

Values from the calculation:
Uncorrected formation energy (eV per atom): 0.109

=====

(8)
This record from the Alexandria database describes a geometry-optimized PmY3Co structure. The functional is GGA-PBE.

a = 7.9305 Å, b = 10.2597 Å, c = 7.3391 Å
α = 90.00°, β = 90.00°, γ = 90.00°
Space group Imma (No. 74)
Unique sites:
Pm  0.0000  0.2500  0.0047 x4
Y  0.0000  0.2500  0.4920 x4
Y  0.2500  0.0111  0.7500 x8
Co  0.2500  0.2500  0.2500 x4

Values from the calculation:
Relative energy among the computed polymorphs (meV per atom): 6
Energy relative to the elements (kJ/mol of atoms): -3.01